(1)
First-principles (PBE) data for a relaxed structure of Th4GeTePb2, as listed in the Alexandria database.

## Properties
The formation energy without anion corrections comes out at -597 meV/atom. Its space group is P2/m.

a b c (Å): 4.494 7.766 7.790
angles (deg): 70.56 90.00 90.00
Fractional positions:
Th 0.500 0.266 0.732
Th 0.500 0.734 0.268
Th 0.000 0.258 0.261
Th 0.000 0.742 0.739
Ge 0.000 0.500 0.500
Te 0.500 0.500 0.000
Pb 0.500 0.000 0.500
Pb 0.000 0.000 0.000

(2)
First-principles (PBE) data for a relaxed structure of RbScSi, as listed in the Alexandria database.

## Properties
The formation energy without anion corrections comes out at 492 meV/atom. Its space group is F-43m. As for the energy above the lowest structure with this stoichiometry: 744.4 meV/atom.

a b c (Å): 5.140 5.140 5.140
angles (deg): 60.00 60.00 60.00
Fractional positions:
Si 0.500 0.500 0.500
Rb 0.250 0.250 0.250
Sc 0.750 0.750 0.750

(3)
First-principles (PBE) data for a relaxed structure of InRe2Ni, as listed in the Alexandria database.

## Properties
Its space group is I4/mmm. For the formation energy, the calculation gives 0.455 eV/atom.

a b c (Å): 5.113 5.113 5.113
angles (deg): 136.97 136.97 62.48
Fractional positions:
In 0.250 0.750 0.500
Re 0.500 0.500 0.000
Re 0.000 0.000 0.000
Ni 0.750 0.250 0.500

In order of appearance, magnetic moment = 0.0 0.0 0.0 Bohr magnetons per cell.